! K2RuBr2Cl4 (PBE-GGA, relaxed); values from VASP
! Formation energy without anion corrections in eV per atom: -1.10
! Final energy in eV for the cell shown: -32.14
! ρ in kg/m3: 3057
! SG: I4/mmm
&SYSTEM
  ibrav = 0, nat = 9, ntyp = 4
/
ATOMIC_SPECIES
K 39.10 K.upf
Ru 101.07 Ru.upf
Br 79.90 Br.upf
Cl 35.45 Cl.upf
ATOMIC_POSITIONS crystal
K 0.250 0.750 0.500
K 0.750 0.250 0.500
Ru 0.000 0.000 0.000
Br 0.246 0.246 0.000
Br 0.754 0.754 0.000
Cl 0.232 0.232 0.464
Cl 0.232 0.768 0.000
Cl 0.768 0.232 0.000
Cl 0.768 0.768 0.536
CELL_PARAMETERS angstrom
-3.579 3.579 5.098
3.579 -3.579 5.098
3.579 3.579 -5.098

=====

! PmNd2YS4 (PBE-GGA, relaxed); values from VASP
! Formation energy without anion corrections in eV per atom: -2.02
! Final energy in eV for the cell shown: -53.41
! ρ in kg/m3: 5863
! SG: P2/m
&SYSTEM
  ibrav = 0, nat = 8, ntyp = 4
/
ATOMIC_SPECIES
Pm 145.00 Pm.upf
Nd 144.24 Nd.upf
Y 88.91 Y.upf
S 32.06 S.upf
ATOMIC_POSITIONS crystal
Pm 0.000 0.000 0.000
Nd 0.000 0.500 0.500
Nd 0.500 0.000 0.500
Y 0.500 0.500 0.000
S 0.253 0.500 0.243
S 0.259 0.000 0.761
S 0.741 0.000 0.239
S 0.747 0.500 0.757
CELL_PARAMETERS angstrom
6.973 0.000 0.000
0.000 3.981 0.000
-2.281 0.000 6.637

=====

! KBaCo2S (PBE-GGA, relaxed); values from VASP
! Formation energy without anion corrections in eV per atom: 1.05
! Final energy in eV for the cell shown: -16.09
! ρ in kg/m3: 3276
! SG: P4/mmm
&SYSTEM
  ibrav = 0, nat = 5, ntyp = 4
/
ATOMIC_SPECIES
K 39.10 K.upf
Ba 137.33 Ba.upf
Co 58.93 Co.upf
S 32.06 S.upf
ATOMIC_POSITIONS crystal
K 0.000 0.000 0.000
Ba 0.500 0.500 0.500
Co 0.000 0.500 0.500
Co 0.500 0.000 0.500
S 0.500 0.500 0.000
CELL_PARAMETERS angstrom
5.255 0.000 0.000
0.000 5.255 0.000
0.000 0.000 5.991

=====

! Ba4In5Bi6 (PBE-GGA, relaxed); values from VASP
! Final energy in eV for the cell shown: -103.79
! ρ in kg/m3: 6905
! SG: Cmc2_1
&SYSTEM
  ibrav = 0, nat = 30, ntyp = 3
/
ATOMIC_SPECIES
Ba 137.33 Ba.upf
In 114.82 In.upf
Bi 208.98 Bi.upf
ATOMIC_POSITIONS crystal
Ba 0.026 0.974 0.500
Ba 0.036 0.964 0.766
Ba 0.167 0.833 0.305
Ba 0.170 0.830 0.953
Ba 0.830 0.170 0.453
Ba 0.833 0.167 0.805
Ba 0.964 0.036 0.266
Ba 0.974 0.026 0.000
In 0.156 0.844 0.627
In 0.322 0.678 0.627
In 0.337 0.663 0.279
In 0.339 0.661 0.975
In 0.454 0.546 0.680
In 0.546 0.454 0.180
In 0.661 0.339 0.475
In 0.663 0.337 0.779
In 0.678 0.322 0.127
In 0.844 0.156 0.127
Bi 0.095 0.905 0.129
Bi 0.230 0.770 0.766
Bi 0.232 0.768 0.491
Bi 0.413 0.587 0.129
Bi 0.429 0.571 0.404
Bi 0.439 0.561 0.859
Bi 0.561 0.439 0.359
Bi 0.571 0.429 0.904
Bi 0.587 0.413 0.629
Bi 0.768 0.232 0.991
Bi 0.770 0.230 0.266
Bi 0.905 0.095 0.629
CELL_PARAMETERS angstrom
2.732 -11.680 0.000
2.732 11.680 0.000
0.000 0.000 17.919

=====

! SrMg2IrPt (PBE-GGA, relaxed); values from VASP
! Final energy in eV for the cell shown: -20.01
! ρ in kg/m3: 6978
! SG: P4/mmm
&SYSTEM
  ibrav = 0, nat = 5, ntyp = 4
/
ATOMIC_SPECIES
Sr 87.62 Sr.upf
Mg 24.30 Mg.upf
Ir 192.22 Ir.upf
Pt 195.08 Pt.upf
ATOMIC_POSITIONS crystal
Sr 0.000 0.000 0.000
Mg 0.000 0.500 0.500
Mg 0.500 0.000 0.500
Ir 0.500 0.500 0.000
Pt 0.500 0.500 0.500
CELL_PARAMETERS angstrom
4.914 0.000 0.000
0.000 4.914 0.000
0.000 0.000 5.159

=====

! LiCaW2 (PBE-GGA, relaxed); values from VASP
! Final energy in eV for the cell shown: -93.07
! ρ in kg/m3: 9806
! SG: Fm-3m
&SYSTEM
  ibrav = 0, nat = 16, ntyp = 3
/
ATOMIC_SPECIES
Li 6.94 Li.upf
Ca 40.08 Ca.upf
W 183.84 W.upf
ATOMIC_POSITIONS crystal
Li 0.000 0.000 0.000
Li 0.000 0.500 0.500
Li 0.500 0.000 0.500
Li 0.500 0.500 0.000
Ca 0.000 0.000 0.500
Ca 0.000 0.500 0.000
Ca 0.500 0.000 0.000
Ca 0.500 0.500 0.500
W 0.250 0.250 0.250
W 0.250 0.250 0.750
W 0.250 0.750 0.250
W 0.250 0.750 0.750
W 0.750 0.250 0.250
W 0.750 0.250 0.750
W 0.750 0.750 0.250
W 0.750 0.750 0.750
CELL_PARAMETERS angstrom
6.549 0.000 0.000
0.000 6.549 0.000
0.000 0.000 6.549